[1]
Here is a geometry-optimized Na2ScW structure from Alexandria. Energies are from PBE-GGA.

E_tot (eV per atom): -4.42
E above lowest polymorph (eV/atom): 0.000
Calculated density (g cm⁻³): 4.98
Symmetry: I-42d, No. 122
Formation enthalpy at 0 K (eV/atom): 1.058

Cell lengths 12.313, 12.313, 12.313 Å; angles 161.75, 161.75, 25.92 degrees
Positions (direct):
Na: 0.116 0.625 0.991
Na: 0.375 0.366 0.491
Na: 0.634 0.125 0.009
Na: 0.875 0.884 0.509
Sc: 0.250 0.750 0.500
Sc: 0.500 0.500 0.000
W: 0.000 0.000 0.000
W: 0.750 0.250 0.500

[2]
Here is a geometry-optimized KCaClF2 structure from Alexandria. Energies are from PBE-GGA.

Raw formation energy (eV/atom): -3.029
E_tot (eV per atom): -4.77
Calculated density (g cm⁻³): 2.27
Symmetry: P4/mmm, No. 123

Cell lengths 4.476, 4.476, 5.569 Å; angles 90.00, 90.00, 90.00 degrees
Positions (direct):
K: 0.000 0.000 0.000
Ca: 0.500 0.500 0.500
Cl: 0.500 0.500 0.000
F: 0.000 0.500 0.500
F: 0.500 0.000 0.500

[3]
Here is a geometry-optimized In4As5Br3O12 structure from Alexandria. Energies are from PBE-GGA.

Raw formation energy (eV/atom): -1.288
E_tot (eV per atom): -5.40
Calculated density (g cm⁻³): 4.17
Symmetry: P-1, No. 2

Cell lengths 8.157, 10.762, 12.528 Å; angles 69.64, 79.40, 80.32 degrees
Positions (direct):
In: 0.000 0.000 0.000
In: 0.000 0.500 0.000
In: 0.152 0.198 0.518
In: 0.259 0.210 0.014
In: 0.349 0.711 0.985
In: 0.651 0.289 0.015
In: 0.741 0.790 0.986
In: 0.848 0.802 0.482
As: 0.027 0.676 0.190
As: 0.072 0.918 0.749
As: 0.252 0.374 0.225
As: 0.376 0.523 0.823
As: 0.396 0.013 0.820
As: 0.604 0.987 0.180
As: 0.624 0.477 0.177
As: 0.748 0.626 0.775
As: 0.928 0.082 0.251
As: 0.973 0.324 0.810
Br: 0.093 0.641 0.567
Br: 0.254 0.028 0.411
Br: 0.392 0.323 0.509
Br: 0.608 0.677 0.491
Br: 0.746 0.972 0.589
Br: 0.907 0.359 0.433
O: 0.070 0.079 0.121
O: 0.086 0.092 0.691
O: 0.094 0.367 0.899
O: 0.137 0.803 0.077
O: 0.159 0.341 0.120
O: 0.215 0.559 0.169
O: 0.225 0.594 0.919
O: 0.239 0.087 0.911
O: 0.270 0.884 0.824
O: 0.441 0.359 0.918
O: 0.471 0.383 0.148
O: 0.498 0.119 0.071
O: 0.502 0.881 0.929
O: 0.529 0.617 0.852
O: 0.559 0.641 0.082
O: 0.730 0.116 0.176
O: 0.761 0.913 0.089
O: 0.775 0.406 0.081
O: 0.785 0.441 0.831
O: 0.841 0.659 0.880
O: 0.863 0.197 0.923
O: 0.906 0.633 0.101
O: 0.914 0.908 0.309
O: 0.930 0.921 0.879

[4]
Here is a geometry-optimized LiHfAu2 structure from Alexandria. Energies are from PBE-GGA.

E_tot (eV per atom): -4.37
Calculated density (g cm⁻³): 12.80
Symmetry: Immm, No. 71
Formation enthalpy at 0 K (eV/atom): 0.235

Cell lengths 5.972, 5.972, 5.972 Å; angles 152.37, 130.06, 58.03 degrees
Positions (direct):
Li: 0.000 0.000 0.000
Hf: 0.500 0.500 0.000
Au: 0.232 0.232 0.000
Au: 0.768 0.768 0.000

[5]
Here is a geometry-optimized ErZr2PaP4 structure from Alexandria. Energies are from PBE-GGA.

E_tot (eV per atom): -8.03
Calculated density (g cm⁻³): 7.25
Symmetry: P2/m, No. 10
Formation enthalpy at 0 K (eV/atom): -1.429

Cell lengths 6.660, 3.860, 6.661 Å; angles 90.00, 109.50, 90.00 degrees
Positions (direct):
Er: 0.000 0.000 0.000
Zr: 0.500 0.000 0.500
Zr: 0.500 0.500 0.000
Pa: 0.000 0.500 0.500
P: 0.260 0.500 0.254
P: 0.262 0.000 0.755
P: 0.738 0.000 0.245
P: 0.740 0.500 0.746

[6]
Here is a geometry-optimized KBaPO4 structure from Alexandria. Energies are from PBE-GGA.

Raw formation energy (eV/atom): -2.594
E_tot (eV per atom): -6.63
E above lowest polymorph (eV/atom): 0.051
Calculated density (g cm⁻³): 3.77
Symmetry: Cmcm, No. 63

Cell lengths 5.874, 5.874, 7.876 Å; angles 90.00, 90.00, 118.33 degrees
Positions (direct):
K: 0.000 0.000 0.000
K: 0.000 0.000 0.500
Ba: 0.312 0.688 0.750
Ba: 0.688 0.312 0.250
P: 0.350 0.650 0.250
P: 0.650 0.350 0.750
O: 0.231 0.348 0.250
O: 0.260 0.740 0.090
O: 0.260 0.740 0.410
O: 0.348 0.231 0.750
O: 0.652 0.769 0.250
O: 0.740 0.260 0.590
O: 0.740 0.260 0.910
O: 0.769 0.652 0.750

[7]
Here is a geometry-optimized TbPmDyTm3 structure from Alexandria. Energies are from PBE-GGA.

E_tot (eV per atom): -4.54
Calculated density (g cm⁻³): 8.62
Symmetry: Cmcm, No. 63
Formation enthalpy at 0 K (eV/atom): 0.023

Cell lengths 7.905, 7.905, 10.001 Å; angles 90.00, 90.00, 143.14 degrees
Positions (direct):
Tb: 0.000 0.000 0.000
Tb: 0.000 0.000 0.500
Pm: 0.500 0.500 0.250
Pm: 0.500 0.500 0.750
Dy: 0.168 0.832 0.750
Dy: 0.832 0.168 0.250
Tm: 0.168 0.832 0.250
Tm: 0.332 0.668 0.000
Tm: 0.332 0.668 0.500
Tm: 0.668 0.332 0.000
Tm: 0.668 0.332 0.500
Tm: 0.832 0.168 0.750

[8]
Here is a geometry-optimized AsPRh structure from Alexandria. Energies are from PBE-GGA.

E_tot (eV per atom): -5.77
E above lowest polymorph (eV/atom): 0.599
Calculated density (g cm⁻³): 7.27
Symmetry: P3m1, No. 156
Formation enthalpy at 0 K (eV/atom): 0.033

Cell lengths 4.184, 4.184, 3.145 Å; angles 90.00, 90.00, 120.00 degrees
Positions (direct):
As: 0.000 0.000 0.000
P: 0.333 0.667 0.556
Rh: 0.667 0.333 0.600

[9]
Here is a geometry-optimized Tl2TeSe structure from Alexandria. Energies are from PBE-GGA.

Raw formation energy (eV/atom): -0.026
E_tot (eV per atom): -2.87
E above lowest polymorph (eV/atom): 0.190
Calculated density (g cm⁻³): 8.57
Symmetry: I-4m2, No. 119

Cell lengths 6.605, 6.605, 6.605 Å; angles 139.73, 139.73, 58.26 degrees
Positions (direct):
Tl: 0.000 0.000 0.000
Tl: 0.750 0.250 0.500
Te: 0.500 0.500 0.000
Se: 0.250 0.750 0.500

[10]
Here is a geometry-optimized K2Zn2HgI6 structure from Alexandria. Energies are from PBE-GGA.

Raw formation energy (eV/atom): -0.818
E_tot (eV per atom): -2.12
Calculated density (g cm⁻³): 3.34
Symmetry: P-1, No. 2

Cell lengths 8.090, 8.738, 9.119 Å; angles 78.31, 70.21, 75.73 degrees
Positions (direct):
K: 0.009 0.217 0.213
K: 0.991 0.783 0.787
Zn: 0.496 0.140 0.823
Zn: 0.504 0.860 0.177
Hg: 0.000 0.500 0.500
I: 0.279 0.409 0.856
I: 0.283 0.953 0.436
I: 0.304 0.905 0.974
I: 0.696 0.095 0.026
I: 0.717 0.047 0.564
I: 0.721 0.591 0.144